No. 1
# PBE-GGA InSn3Pd6, optimized geometry
data_InSn3Pd6
_symmetry_space_group_name_H-M 'P 1'
_symmetry_Int_Tables_number 1
_cell_length_a 7.743
_cell_length_b 7.743
_cell_length_c 7.048
_cell_angle_alpha 90.00
_cell_angle_beta 90.00
_cell_angle_gamma 117.86
loop_
_symmetry_equiv_pos_as_xyz
'x,y,z'
loop_
_atom_site_label
_atom_site_type_symbol
_atom_site_fract_x
_atom_site_fract_y
_atom_site_fract_z
_atom_site_occupancy
In1 In 0.206 0.794 0.500 1
In2 In 0.794 0.206 0.000 1
Sn1 Sn 0.082 0.306 0.532 1
Sn2 Sn 0.306 0.082 0.032 1
Sn3 Sn 0.459 0.541 0.192 1
Sn4 Sn 0.541 0.459 0.692 1
Sn5 Sn 0.694 0.918 0.532 1
Sn6 Sn 0.918 0.694 0.032 1
Pd1 Pd 0.037 0.963 0.711 1
Pd2 Pd 0.101 0.518 0.222 1
Pd3 Pd 0.202 0.347 0.898 1
Pd4 Pd 0.264 0.736 0.884 1
Pd5 Pd 0.347 0.202 0.398 1
Pd6 Pd 0.482 0.899 0.222 1
Pd7 Pd 0.518 0.101 0.722 1
Pd8 Pd 0.653 0.798 0.898 1
Pd9 Pd 0.736 0.264 0.384 1
Pd10 Pd 0.798 0.653 0.398 1
Pd11 Pd 0.899 0.482 0.722 1
Pd12 Pd 0.963 0.037 0.211 1
# - spin magnetization (μB per atom) = 0.000
# - total energy (Ry per atom) = -0.36994
# - energy of formation from the pure elements (eV per atom) = -0.443



No. 2
# PBE-GGA Nd8InIr2, optimized geometry
data_Nd8InIr2
_symmetry_space_group_name_H-M 'P 1'
_symmetry_Int_Tables_number 1
_cell_length_a 8.224
_cell_length_b 8.224
_cell_length_c 5.630
_cell_angle_alpha 97.25
_cell_angle_beta 97.25
_cell_angle_gamma 114.02
loop_
_symmetry_equiv_pos_as_xyz
'x,y,z'
loop_
_atom_site_label
_atom_site_type_symbol
_atom_site_fract_x
_atom_site_fract_y
_atom_site_fract_z
_atom_site_occupancy
Nd1 Nd 0.108 0.108 0.802 1
Nd2 Nd 0.174 0.428 0.438 1
Nd3 Nd 0.249 0.751 0.000 1
Nd4 Nd 0.428 0.174 0.438 1
Nd5 Nd 0.572 0.826 0.562 1
Nd6 Nd 0.751 0.249 0.000 1
Nd7 Nd 0.826 0.572 0.562 1
Nd8 Nd 0.892 0.892 0.198 1
In1 In 0.500 0.500 0.000 1
Ir1 Ir 0.195 0.805 0.500 1
Ir2 Ir 0.805 0.195 0.500 1
# - spin magnetization (μB per atom) = 0.000
# - total energy (Ry per atom) = -0.41551
# - energy of formation from the pure elements (eV per atom) = -0.326



No. 3
# PBE-GGA Cs2CaSb2Pb, optimized geometry
data_Cs2CaSb2Pb
_symmetry_space_group_name_H-M 'P 1'
_symmetry_Int_Tables_number 1
_cell_length_a 10.507
_cell_length_b 10.507
_cell_length_c 10.507
_cell_angle_alpha 137.31
_cell_angle_beta 62.41
_cell_angle_gamma 136.73
loop_
_symmetry_equiv_pos_as_xyz
'x,y,z'
loop_
_atom_site_label
_atom_site_type_symbol
_atom_site_fract_x
_atom_site_fract_y
_atom_site_fract_z
_atom_site_occupancy
Cs1 Cs 0.178 0.232 0.410 1
Cs2 Cs 0.322 0.732 0.053 1
Cs3 Cs 0.678 0.268 0.947 1
Cs4 Cs 0.822 0.768 0.590 1
Ca1 Ca 0.250 0.750 0.500 1
Ca2 Ca 0.750 0.250 0.500 1
Sb1 Sb 0.097 0.741 0.839 1
Sb2 Sb 0.403 0.241 0.644 1
Sb3 Sb 0.597 0.759 0.356 1
Sb4 Sb 0.903 0.259 0.161 1
Pb1 Pb 0.250 0.250 0.000 1
Pb2 Pb 0.750 0.750 0.000 1
# - formation energy without anion corrections (eV per atom) = -0.570
# - spin magnetization (μB per atom) = 0.000
# - total energy (Ry per atom) = -0.23374



No. 4
# PBE-GGA NaLi7Pd5, optimized geometry
data_NaLi7Pd5
_symmetry_space_group_name_H-M 'P 1'
_symmetry_Int_Tables_number 1
_cell_length_a 6.867
_cell_length_b 6.867
_cell_length_c 6.867
_cell_angle_alpha 133.70
_cell_angle_beta 96.94
_cell_angle_gamma 100.85
loop_
_symmetry_equiv_pos_as_xyz
'x,y,z'
loop_
_atom_site_label
_atom_site_type_symbol
_atom_site_fract_x
_atom_site_fract_y
_atom_site_fract_z
_atom_site_occupancy
Na1 Na 0.000 0.000 0.000 1
Li1 Li 0.202 0.501 0.701 1
Li2 Li 0.320 0.320 0.000 1
Li3 Li 0.327 0.989 0.338 1
Li4 Li 0.651 0.989 0.662 1
Li5 Li 0.664 0.664 0.000 1
Li6 Li 0.767 0.267 0.500 1
Li7 Li 0.801 0.501 0.299 1
Pd1 Pd 0.233 0.733 0.500 1
Pd2 Pd 0.503 0.492 0.504 1
Pd3 Pd 0.503 0.998 0.010 1
Pd4 Pd 0.988 0.492 0.990 1
Pd5 Pd 0.988 0.998 0.496 1
# - spin magnetization (μB per atom) = 0.000
# - total energy (Ry per atom) = -0.25414
# - energy of formation from the pure elements (eV per atom) = -0.329



No. 5
# PBE-GGA Au5C, optimized geometry
data_Au5C
_symmetry_space_group_name_H-M 'P 1'
_symmetry_Int_Tables_number 1
_cell_length_a 5.476
_cell_length_b 5.476
_cell_length_c 4.720
_cell_angle_alpha 90.00
_cell_angle_beta 90.00
_cell_angle_gamma 120.00
loop_
_symmetry_equiv_pos_as_xyz
'x,y,z'
loop_
_atom_site_label
_atom_site_type_symbol
_atom_site_fract_x
_atom_site_fract_y
_atom_site_fract_z
_atom_site_occupancy
Au1 Au 0.000 0.500 0.000 1
Au2 Au 0.333 0.667 0.500 1
Au3 Au 0.500 0.000 0.000 1
Au4 Au 0.500 0.500 0.000 1
Au5 Au 0.667 0.333 0.500 1
C1 C 0.000 0.000 0.500 1
# - relative energy among the computed polymorphs (eV/atom) = 0.606
# - spin magnetization (μB per atom) = 0.304
# - total energy (Ry per atom) = -0.22247
# - energy of formation from the pure elements (eV per atom) = 1.242



No. 6
# PBE-GGA MnP2W, optimized geometry
data_MnP2W
_symmetry_space_group_name_H-M 'P 1'
_symmetry_Int_Tables_number 1
_cell_length_a 2.905
_cell_length_b 2.905
_cell_length_c 21.602
_cell_angle_alpha 90.00
_cell_angle_beta 90.00
_cell_angle_gamma 120.00
loop_
_symmetry_equiv_pos_as_xyz
'x,y,z'
loop_
_atom_site_label
_atom_site_type_symbol
_atom_site_fract_x
_atom_site_fract_y
_atom_site_fract_z
_atom_site_occupancy
Mn1 Mn 0.000 0.000 0.000 1
Mn2 Mn 0.333 0.667 0.667 1
Mn3 Mn 0.667 0.333 0.333 1
P1 P 0.000 0.000 0.256 1
P2 P 0.000 0.000 0.744 1
P3 P 0.333 0.667 0.411 1
P4 P 0.333 0.667 0.923 1
P5 P 0.667 0.333 0.077 1
P6 P 0.667 0.333 0.589 1
W1 W 0.000 0.000 0.500 1
W2 W 0.333 0.667 0.167 1
W3 W 0.667 0.333 0.833 1
# - spin magnetization (μB per atom) = 0.281
# - total energy (Ry per atom) = -0.60577
# - energy of formation from the pure elements (eV per atom) = -0.006



No. 7
# PBE-GGA FePd, optimized geometry
data_FePd
_symmetry_space_group_name_H-M 'P 1'
_symmetry_Int_Tables_number 1
_cell_length_a 4.255
_cell_length_b 4.255
_cell_length_c 5.021
_cell_angle_alpha 90.00
_cell_angle_beta 90.00
_cell_angle_gamma 120.00
loop_
_symmetry_equiv_pos_as_xyz
'x,y,z'
loop_
_atom_site_label
_atom_site_type_symbol
_atom_site_fract_x
_atom_site_fract_y
_atom_site_fract_z
_atom_site_occupancy
Fe1 Fe 0.333 0.667 0.250 1
Fe2 Fe 0.667 0.333 0.750 1
Pd1 Pd 0.333 0.667 0.750 1
Pd2 Pd 0.667 0.333 0.250 1
# - spin magnetization (μB per atom) = 1.855
# - total energy (Ry per atom) = -0.44536
# - energy of formation from the pure elements (eV per atom) = 0.768



No. 8
# PBE-GGA BaThAs2S8, optimized geometry
data_BaThAs2S8
_symmetry_space_group_name_H-M 'P 1'
_symmetry_Int_Tables_number 1
_cell_length_a 6.273
_cell_length_b 6.273
_cell_length_c 9.454
_cell_angle_alpha 90.00
_cell_angle_beta 90.00
_cell_angle_gamma 120.00
loop_
_symmetry_equiv_pos_as_xyz
'x,y,z'
loop_
_atom_site_label
_atom_site_type_symbol
_atom_site_fract_x
_atom_site_fract_y
_atom_site_fract_z
_atom_site_occupancy
Ba1 Ba 0.000 0.000 0.000 1
Th1 Th 0.000 0.000 0.500 1
As1 As 0.333 0.667 0.760 1
As2 As 0.667 0.333 0.240 1
S1 S 0.012 0.662 0.311 1
S2 S 0.333 0.667 0.985 1
S3 S 0.338 0.350 0.311 1
S4 S 0.350 0.012 0.689 1
S5 S 0.650 0.988 0.311 1
S6 S 0.662 0.650 0.689 1
S7 S 0.667 0.333 0.015 1
S8 S 0.988 0.338 0.689 1
# - formation energy without anion corrections (eV per atom) = -0.769
# - spin magnetization (μB per atom) = 0.000
# - total energy (Ry per atom) = -0.37296



No. 9
# PBE-GGA Li2Ca2Si5O13, optimized geometry
data_Li2Ca2Si5O13
_symmetry_space_group_name_H-M 'P 1'
_symmetry_Int_Tables_number 1
_cell_length_a 7.603
_cell_length_b 7.861
_cell_length_c 10.311
_cell_angle_alpha 83.34
_cell_angle_beta 68.79
_cell_angle_gamma 75.66
loop_
_symmetry_equiv_pos_as_xyz
'x,y,z'
loop_
_atom_site_label
_atom_site_type_symbol
_atom_site_fract_x
_atom_site_fract_y
_atom_site_fract_z
_atom_site_occupancy
Li1 Li 0.160 0.408 0.249 1
Li2 Li 0.180 0.077 0.366 1
Li3 Li 0.820 0.923 0.634 1
Li4 Li 0.840 0.592 0.751 1
Ca1 Ca 0.024 0.168 0.105 1
Ca2 Ca 0.449 0.850 0.892 1
Ca3 Ca 0.551 0.150 0.108 1
Ca4 Ca 0.976 0.832 0.895 1
Si1 Si 0.147 0.227 0.764 1
Si2 Si 0.218 0.692 0.538 1
Si3 Si 0.263 0.768 0.234 1
Si4 Si 0.316 0.448 0.908 1
Si5 Si 0.365 0.300 0.461 1
Si6 Si 0.635 0.700 0.539 1
Si7 Si 0.684 0.552 0.092 1
Si8 Si 0.737 0.232 0.766 1
Si9 Si 0.782 0.308 0.462 1
Si10 Si 0.853 0.773 0.236 1
O1 O 0.029 0.762 0.668 1
O2 O 0.075 0.691 0.241 1
O3 O 0.159 0.057 0.867 1
O4 O 0.198 0.392 0.816 1
O5 O 0.217 0.823 0.397 1
O6 O 0.223 0.497 0.493 1
O7 O 0.253 0.658 0.923 1
O8 O 0.278 0.328 0.052 1
O9 O 0.289 0.178 0.603 1
O10 O 0.294 0.943 0.138 1
O11 O 0.350 0.225 0.328 1
O12 O 0.414 0.690 0.566 1
O13 O 0.448 0.603 0.188 1
O14 O 0.552 0.397 0.812 1
O15 O 0.586 0.310 0.434 1
O16 O 0.650 0.775 0.672 1
O17 O 0.706 0.057 0.862 1
O18 O 0.711 0.822 0.397 1
O19 O 0.722 0.672 0.948 1
O20 O 0.747 0.342 0.077 1
O21 O 0.777 0.503 0.507 1
O22 O 0.783 0.177 0.603 1
O23 O 0.802 0.608 0.184 1
O24 O 0.841 0.943 0.133 1
O25 O 0.925 0.309 0.759 1
O26 O 0.971 0.238 0.332 1
# - formation energy without anion corrections (eV per atom) = -2.825
# - spin magnetization (μB per atom) = 0.002
# - total energy (Ry per atom) = -0.53970



No. 10
# PBE-GGA LiVSe3, optimized geometry
data_LiVSe3
_symmetry_space_group_name_H-M 'P 1'
_symmetry_Int_Tables_number 1
_cell_length_a 6.704
_cell_length_b 6.201
_cell_length_c 13.481
_cell_angle_alpha 90.00
_cell_angle_beta 117.93
_cell_angle_gamma 90.00
loop_
_symmetry_equiv_pos_as_xyz
'x,y,z'
loop_
_atom_site_label
_atom_site_type_symbol
_atom_site_fract_x
_atom_site_fract_y
_atom_site_fract_z
_atom_site_occupancy
Li1 Li 0.035 0.031 0.152 1
Li2 Li 0.035 0.469 0.652 1
Li3 Li 0.965 0.531 0.348 1
Li4 Li 0.965 0.969 0.848 1
V1 V 0.411 0.250 0.000 1
V2 V 0.411 0.250 0.500 1
V3 V 0.589 0.750 0.000 1
V4 V 0.589 0.750 0.500 1
Se1 Se 0.073 0.237 0.499 1
Se2 Se 0.073 0.263 0.999 1
Se3 Se 0.352 0.509 0.348 1
Se4 Se 0.352 0.991 0.848 1
Se5 Se 0.377 0.010 0.351 1
Se6 Se 0.377 0.490 0.851 1
Se7 Se 0.623 0.510 0.149 1
Se8 Se 0.623 0.990 0.649 1
Se9 Se 0.648 0.009 0.152 1
Se10 Se 0.648 0.491 0.652 1
Se11 Se 0.927 0.737 0.001 1
Se12 Se 0.927 0.763 0.501 1
# - formation energy without anion corrections (eV per atom) = -0.692
# - relative energy among the computed polymorphs (eV/atom) = 0.052
# - spin magnetization (μB per atom) = 0.000
# - total energy (Ry per atom) = -0.36667



No. 11
# PBE-GGA La5Fe, optimized geometry
data_La5Fe
_symmetry_space_group_name_H-M 'P 1'
_symmetry_Int_Tables_number 1
_cell_length_a 3.834
_cell_length_b 3.834
_cell_length_c 15.789
_cell_angle_alpha 90.00
_cell_angle_beta 90.00
_cell_angle_gamma 120.00
loop_
_symmetry_equiv_pos_as_xyz
'x,y,z'
loop_
_atom_site_label
_atom_site_type_symbol
_atom_site_fract_x
_atom_site_fract_y
_atom_site_fract_z
_atom_site_occupancy
La1 La 0.000 0.000 0.000 1
La2 La 0.000 0.000 0.394 1
La3 La 0.000 0.000 0.606 1
La4 La 0.333 0.667 0.189 1
La5 La 0.333 0.667 0.811 1
Fe1 Fe 0.333 0.667 0.500 1
# - relative energy among the computed polymorphs (eV/atom) = 0.095
# - spin magnetization (μB per atom) = 0.000
# - total energy (Ry per atom) = -0.39155
# - energy of formation from the pure elements (eV per atom) = 0.189



Repeat the third record exactly.
# PBE-GGA Cs2CaSb2Pb, optimized geometry
data_Cs2CaSb2Pb
_symmetry_space_group_name_H-M 'P 1'
_symmetry_Int_Tables_number 1
_cell_length_a 10.507
_cell_length_b 10.507
_cell_length_c 10.507
_cell_angle_alpha 137.31
_cell_angle_beta 62.41
_cell_angle_gamma 136.73
loop_
_symmetry_equiv_pos_as_xyz
'x,y,z'
loop_
_atom_site_label
_atom_site_type_symbol
_atom_site_fract_x
_atom_site_fract_y
_atom_site_fract_z
_atom_site_occupancy
Cs1 Cs 0.178 0.232 0.410 1
Cs2 Cs 0.322 0.732 0.053 1
Cs3 Cs 0.678 0.268 0.947 1
Cs4 Cs 0.822 0.768 0.590 1
Ca1 Ca 0.250 0.750 0.500 1
Ca2 Ca 0.750 0.250 0.500 1
Sb1 Sb 0.097 0.741 0.839 1
Sb2 Sb 0.403 0.241 0.644 1
Sb3 Sb 0.597 0.759 0.356 1
Sb4 Sb 0.903 0.259 0.161 1
Pb1 Pb 0.250 0.250 0.000 1
Pb2 Pb 0.750 0.750 0.000 1
# - formation energy without anion corrections (eV per atom) = -0.570
# - spin magnetization (μB per atom) = 0.000
# - total energy (Ry per atom) = -0.23374